No. 1
DFT (GGA-PBE) results for a relaxed structure of TaTcOs2.

## Properties
E above lowest polymorph   0.99 eV per formula unit
DOS(E_F)   1.265 states/eV per atom

Lattice parameters (Å, degrees): 4.539 4.539 3.001 90.00 90.00 90.00
Element x y z (fractional)
Ta  0.000  0.000  0.000
Tc  0.500  0.500  0.000
Os  0.000  0.500  0.500
Os  0.500  0.000  0.500

---

No. 2
DFT (GGA-PBE) results for a relaxed structure of TaTcOs2.

## Properties
E above lowest polymorph   0.89 eV per formula unit
DOS(E_F)   0.719 states/eV per atom

Lattice parameters (Å, degrees): 3.133 4.445 8.909 90.00 90.00 90.00
Element x y z (fractional)
Ta  0.000  0.000  0.000
Ta  0.500  0.500  0.500
Tc  0.000  0.500  0.266
Tc  0.500  0.000  0.766
Os  0.000  0.000  0.505
Os  0.000  0.500  0.736
Os  0.500  0.000  0.236
Os  0.500  0.500  0.005

---

No. 3
DFT (GGA-PBE) results for a relaxed structure of TaTcOs.

## Properties
E above lowest polymorph   1.45 eV per formula unit
DOS(E_F)   1.118 states/eV per atom

Lattice parameters (Å, degrees): 6.058 6.058 6.058 90.00 90.00 90.00
Element x y z (fractional)
Ta  0.000  0.000  0.000
Ta  0.000  0.500  0.500
Ta  0.500  0.000  0.500
Ta  0.500  0.500  0.000
Tc  0.000  0.000  0.500
Tc  0.000  0.500  0.000
Tc  0.500  0.000  0.000
Tc  0.500  0.500  0.500
Os  0.250  0.250  0.750
Os  0.250  0.750  0.250
Os  0.750  0.250  0.250
Os  0.750  0.750  0.750